! TiIrW2F PBE with a Hubbard U relaxed; values from VASP
&SYSTEM
  ibrav = 0, nat = 5, ntyp = 4
/
ATOMIC_SPECIES
Ti 47.87 Ti.upf
Ir 192.22 Ir.upf
W 183.84 W.upf
F 19.00 F.upf
CELL_PARAMETERS angstrom
5.1211 0.0000 0.0000
0.0000 5.1211 0.0000
0.0000 0.0000 4.7868
ATOMIC_POSITIONS crystal
Ti 0.0000 0.0000 0.0000
Ir 0.0000 0.0000 0.5000
W 0.0000 0.5000 0.5000
W 0.5000 0.0000 0.5000
F 0.5000 0.5000 0.0000
! VASP energy: -5.711 eV per atom